# 1
First-principles (PBE) data for a geometry-optimized Zn4InBi structure, as listed in Alexandria.

a b c (Å): 5.570 5.570 5.570
angles (deg): 60.00 60.00 60.00
Fractional coordinates of all 6 atoms:
Zn  0.625  0.625  0.124
Zn  0.625  0.124  0.625
Zn  0.625  0.625  0.625
Zn  0.124  0.625  0.625
Bi  0.250  0.250  0.250
In  0.000  0.000  0.000

Output
symmetry	F-43m, No. 216
total DFT energy (no corrections)	-1.81	eV/atom

# 2
First-principles (PBE) data for a geometry-optimized ZnIn12Bi3 structure, as listed in Alexandria.

a b c (Å): 5.145 5.145 16.852
angles (deg): 90.00 90.00 90.00
Fractional coordinates of all 16 atoms:
Zn  0.000  0.000  0.000
In  0.500  0.500  0.000
In  0.500  0.500  0.245
In  0.500  0.500  0.500
In  0.500  0.500  0.755
In  0.500  0.000  0.110
In  0.500  0.000  0.370
In  0.500  0.000  0.630
In  0.500  0.000  0.890
In  0.000  0.500  0.110
In  0.000  0.500  0.370
In  0.000  0.500  0.630
In  0.000  0.500  0.890
Bi  0.000  0.000  0.235
Bi  0.000  0.000  0.500
Bi  0.000  0.000  0.765

Output
symmetry	P4/mmm, No. 123
total DFT energy (no corrections)	-2.82	eV/atom

# 3
First-principles (PBE) data for a geometry-optimized Zn2In2Bi structure, as listed in Alexandria.

a b c (Å): 4.373 4.373 6.950
angles (deg): 71.66 71.66 90.00
Fractional coordinates of all 5 atoms:
Zn  0.403  0.403  0.195
Zn  0.597  0.597  0.805
Bi  0.000  0.000  0.000
In  0.750  0.250  0.500
In  0.250  0.750  0.500

Output
symmetry	I4/mmm, No. 139
offset from the most stable computed form	0.039	eV per atom